Ti5Se | GGA-PBE | relaxed

Values from the calculation:
For the formation energy without anion corrections, the calculation gives -223 meV per atom. As for the total magnetization: 0.00 Bohr magnetons per cell. The density of states at the Fermi level comes out at 1.5373 states/eV per atom. The calculation puts the volume at 99 Å³ per cell.

Cell lengths 3.5216, 4.3813, 6.8069 Å; angles 108.77, 90.00, 90.00 degrees
Positions (direct):
Se1 0.0000 0.0000 0.0000
Ti1 0.5000 0.8325 0.6650
Ti2 0.0000 0.6694 0.3389
Ti3 0.5000 0.5000 0.0000
Ti4 0.0000 0.3306 0.6611
Ti5 0.5000 0.1675 0.3350

***

TiSe | GGA-PBE | relaxed

Values from the calculation:
For the formation energy without anion corrections, the calculation gives -1091 meV per atom. As for the total magnetization: 0.00 Bohr magnetons per cell. The density of states at the Fermi level comes out at 0.6998 states/eV per atom. The calculation puts the volume at 80 Å³ per cell.

Cell lengths 3.4106, 3.4060, 6.8898 Å; angles 90.00, 90.51, 90.00 degrees
Positions (direct):
Se1 0.7570 0.7500 0.7328
Se2 0.2430 0.2500 0.2672
Ti1 0.7374 0.7500 0.1200
Ti2 0.2626 0.2500 0.8800

***

TiTl4Se4 | GGA-PBE | relaxed

Values from the calculation:
For the formation energy without anion corrections, the calculation gives -626 meV per atom. As for the total magnetization: 0.00 Bohr magnetons per cell. The energy above the most stable polymorph in this dataset is 51 meV per atom. The calculation puts the volume at 590 Å³ per cell.

Cell lengths 6.7827, 9.3240, 9.3240 Å; angles 90.00, 90.00, 90.00 degrees
Positions (direct):
Ti1 0.0000 0.0000 0.0000
Ti2 0.5000 0.5000 0.5000
Tl1 0.3305 0.2811 0.9998
Tl2 0.8305 0.5002 0.7811
Tl3 0.3305 0.7189 0.0002
Tl4 0.1695 0.2189 0.5002
Tl5 0.6695 0.9998 0.7189
Tl6 0.1695 0.7811 0.4998
Tl7 0.8305 0.4998 0.2189
Tl8 0.6695 0.0002 0.2811
Se1 0.7045 0.7114 0.4998
Se2 0.7045 0.2886 0.5002
Se3 0.2045 0.9998 0.7886
Se4 0.7955 0.2114 0.9998
Se5 0.7955 0.7886 0.0002
Se6 0.2955 0.4998 0.2886
Se7 0.2955 0.5002 0.7114
Se8 0.2045 0.0002 0.2114

***

Ti4TlSe8 | GGA-PBE | relaxed

Values from the calculation:
For the formation energy without anion corrections, the calculation gives -1081 meV per atom. As for the total magnetization: 0.00 Bohr magnetons per cell. The density of states at the Fermi level comes out at 0.3310 states/eV per atom. The calculation puts the volume at 359 Å³ per cell.

Cell lengths 7.1096, 7.1096, 9.1768 Å; angles 67.21, 67.21, 60.00 degrees
Positions (direct):
Ti1 0.0000 0.5000 0.0000
Ti2 0.5000 0.5000 0.0000
Ti3 0.5000 0.0000 0.0000
Ti4 0.0000 0.0000 0.0000
Tl1 0.5000 0.5000 0.5000
Se1 0.7315 0.2289 0.8108
Se2 0.7711 0.2685 0.1892
Se3 0.2685 0.7711 0.1892
Se4 0.7711 0.7711 0.1892
Se5 0.7295 0.7295 0.8114
Se6 0.2705 0.2705 0.1886
Se7 0.2289 0.2289 0.8108
Se8 0.2289 0.7315 0.8108

***

Ti2TlSe2 | GGA-PBE | relaxed

Values from the calculation:
For the formation energy without anion corrections, the calculation gives -373 meV per atom. As for the total magnetization: 0.00 Bohr magnetons per cell. The energy above the most stable polymorph in this dataset is 293 meV per atom. The density of states at the Fermi level comes out at 1.0288 states/eV per atom. The calculation puts the volume at 111 Å³ per cell.

Cell lengths 4.6334, 4.6334, 6.1400 Å; angles 67.83, 67.83, 90.00 degrees
Positions (direct):
Tl1 0.0000 0.0000 0.0000
Se1 0.7500 0.2500 0.5000
Se2 0.2500 0.7500 0.5000
Ti1 0.3679 0.3679 0.2642
Ti2 0.6321 0.6321 0.7358

***

TiTl4Se4 | GGA-PBE | relaxed

Values from the calculation:
For the formation energy without anion corrections, the calculation gives -678 meV per atom. As for the total magnetization: 0.00 Bohr magnetons per cell. The energy above the most stable polymorph in this dataset is 0 meV per atom. The density of states at the Fermi level comes out at 0.0000 states/eV per atom. The calculation puts the volume at 1193 Å³ per cell.

Cell lengths 8.6402, 8.7190, 16.3904 Å; angles 75.01, 90.00, 90.00 degrees
Positions (direct):
Ti1 0.8898 0.2070 0.6233
Ti2 0.3898 0.7930 0.8767
Ti3 0.1102 0.7930 0.3767
Ti4 0.6102 0.2070 0.1233
Tl1 0.7180 0.6078 0.3620
Tl2 0.2180 0.3922 0.1380
Tl3 0.2820 0.3922 0.6380
Tl4 0.7820 0.6078 0.8620
Tl5 0.8919 0.1802 0.3816
Tl6 0.3919 0.8198 0.1184
Tl7 0.1081 0.8198 0.6184
Tl8 0.6081 0.1802 0.8816
Tl9 0.3192 0.4114 0.3891
Tl10 0.8192 0.5886 0.1109
Tl11 0.6808 0.5886 0.6109
Tl12 0.1808 0.4114 0.8891
Tl13 0.4928 0.0337 0.3633
Tl14 0.9928 0.9663 0.1367
Tl15 0.5072 0.9663 0.6367
Tl16 0.0072 0.0337 0.8633
Se1 0.1130 0.1859 0.5376
Se2 0.6130 0.8141 0.9624
Se3 0.8870 0.8141 0.4624
Se4 0.3870 0.1859 0.0376
Se5 0.6662 0.2951 0.5377
Se6 0.1662 0.7049 0.9623
Se7 0.3338 0.7049 0.4623
Se8 0.8338 0.2951 0.0377
Se9 0.9463 0.3877 0.7078
Se10 0.4463 0.6123 0.7922
Se11 0.0537 0.6123 0.2922
Se12 0.5537 0.3877 0.2078
Se13 0.8381 0.9450 0.7124
Se14 0.3381 0.0550 0.7876
Se15 0.1619 0.0550 0.2876
Se16 0.6619 0.9450 0.2124

***

Ti2TlSe2 | GGA-PBE | relaxed

Values from the calculation:
For the formation energy without anion corrections, the calculation gives -666 meV per atom. As for the total magnetization: 0.00 Bohr magnetons per cell. The energy above the most stable polymorph in this dataset is 0 meV per atom. The density of states at the Fermi level comes out at 0.8527 states/eV per atom. The calculation puts the volume at 118 Å³ per cell.

Cell lengths 4.0643, 4.0643, 7.7090 Å; angles 74.72, 74.72, 90.00 degrees
Positions (direct):
Tl1 0.0000 0.0000 0.0000
Se1 0.3603 0.3603 0.2795
Se2 0.6397 0.6397 0.7205
Ti1 0.7500 0.2500 0.5000
Ti2 0.2500 0.7500 0.5000

***

Ti2TlSe | GGA-PBE | relaxed

Values from the calculation:
For the formation energy without anion corrections, the calculation gives -388 meV per atom. As for the total magnetization: 0.00 Bohr magnetons per cell. The energy above the most stable polymorph in this dataset is 0 meV per atom. The density of states at the Fermi level comes out at 1.0107 states/eV per atom. The calculation puts the volume at 79 Å³ per cell.

Cell lengths 3.5168, 3.5168, 7.6812 Å; angles 76.77, 76.77, 60.00 degrees
Positions (direct):
Ti1 0.0662 0.0662 0.8013
Ti2 0.2675 0.2675 0.1974
Tl1 0.4992 0.4992 0.5023
Se1 0.6670 0.6670 0.9990